# TiBP2S PBE-GGA relaxed
data_TiBP2S
_space_group_name_H-M_alt 'P 4/m m m'
_space_group_IT_number 123
_space_group_name_Hall '-P 4 2'
_cell_length_a 4.710
_cell_length_b 4.710
_cell_length_c 4.642
_cell_angle_alpha 90.00
_cell_angle_beta 90.00
_cell_angle_gamma 90.00
loop_
_atom_site_label
_atom_site_type_symbol
_atom_site_fract_x
_atom_site_fract_y
_atom_site_fract_z
_atom_site_occupancy
Ti1 Ti 0.000 0.000 0.000 1
B1 B 0.500 0.500 0.500 1
P1 P 0.000 0.500 0.000 1
S1 S 0.000 0.000 0.500 1
# **Energy relative to the elements, uncorrected**: 976 meV/atom
# **Final energy**: -24.6 eV for the cell shown
# **Magnetization**: 0.000 Bohr magnetons per cell